! LiSc2Be | Alexandria via LeMat-Bulk | PBE | relaxed; values from VASP
&SYSTEM
  ibrav = 0, nat = 4, ntyp = 3
/
ATOMIC_SPECIES
Be 9.01 Be.upf
Li 6.94 Li.upf
Sc 44.96 Sc.upf
CELL_PARAMETERS angstrom
5.735 -0.006 0.002
2.966 4.908 -0.002
-3.825 -3.383 2.609
ATOMIC_POSITIONS angstrom
Be 4.475 2.521 0.000
Li 2.714 -0.703 1.306
Sc 8.675 4.888 0.000
Sc 2.063 2.167 1.303
! ΔH_f (0 K), eV/atom: 0.165
! Total magnetic moment, μB/cell: 0.866
! VASP energy, eV for the cell shown: -17.6
! DOS at the Fermi energy, states/eV/cell: 3.943